No. 1
Entry from the Alexandria database: crystalline Nd2YIn at its relaxed geometry (PBE-GGA).

Results
Total energy: -19.842 eV/f.u.
Crystal system: tetragonal
E above lowest polymorph: 0.0 kJ per mole of atoms

Geometry as CIF:
```
data_Nd2YIn
_chemical_formula_sum 'Nd2 Y1 In1'
_symmetry_space_group_name_H-M 'P 1'
_symmetry_Int_Tables_number 1
_cell_length_a 5.0448
_cell_length_b 4.9035
_cell_length_c 4.9035
_cell_angle_alpha 90.00
_cell_angle_beta 90.00
_cell_angle_gamma 90.00
loop_
_symmetry_equiv_pos_as_xyz
'x,y,z'
loop_
_atom_site_label
_atom_site_type_symbol
_atom_site_fract_x
_atom_site_fract_y
_atom_site_fract_z
Nd1 Nd 0.0000 0.5000 0.0000
Nd2 Nd 0.0000 0.0000 0.5000
In1 In 0.5000 0.5000 0.5000
Y1 Y 0.5000 0.0000 0.0000
```

=====

No. 2
Entry from the Alexandria database: crystalline Nd2Y7In2 at its relaxed geometry (PBE-GGA).

Results
Total energy: -61.950 eV/f.u.
Crystal system: monoclinic

Geometry as CIF:
```
data_Nd2Y7In2
_chemical_formula_sum 'Nd2 Y7 In2'
_symmetry_space_group_name_H-M 'P 1'
_symmetry_Int_Tables_number 1
_cell_length_a 8.5594
_cell_length_b 6.5345
_cell_length_c 6.5345
_cell_angle_alpha 97.32
_cell_angle_beta 78.23
_cell_angle_gamma 78.23
loop_
_symmetry_equiv_pos_as_xyz
'x,y,z'
loop_
_atom_site_label
_atom_site_type_symbol
_atom_site_fract_x
_atom_site_fract_y
_atom_site_fract_z
Y1 Y 0.1736 0.4772 0.1179
Y2 Y 0.8264 0.5228 0.8821
Y3 Y 0.5855 0.1430 0.1430
Y4 Y 0.4145 0.8570 0.8570
Y5 Y 0.0000 0.0000 0.0000
Y6 Y 0.1736 0.1179 0.4772
Y7 Y 0.8264 0.8821 0.5228
Nd1 Nd 0.5000 0.3209 0.6791
Nd2 Nd 0.5000 0.6791 0.3209
In1 In 0.8393 0.3732 0.3732
In2 In 0.1607 0.6268 0.6268
```

=====

No. 3
Entry from the Alexandria database: crystalline Nd4Y5In at its relaxed geometry (PBE-GGA).

Results
Total energy: -53.422 eV/f.u.
Crystal system: tetragonal

Geometry as CIF:
```
data_Nd4Y5In
_chemical_formula_sum 'Nd4 Y5 In1'
_symmetry_space_group_name_H-M 'P 1'
_symmetry_Int_Tables_number 1
_cell_length_a 5.8740
_cell_length_b 8.1803
_cell_length_c 8.1803
_cell_angle_alpha 82.59
_cell_angle_beta 68.96
_cell_angle_gamma 68.96
loop_
_symmetry_equiv_pos_as_xyz
'x,y,z'
loop_
_atom_site_label
_atom_site_type_symbol
_atom_site_fract_x
_atom_site_fract_y
_atom_site_fract_z
Y1 Y 0.6606 0.0000 0.0000
Y2 Y 0.1440 0.9999 0.6314
Y3 Y 0.1440 0.6314 0.0001
Y4 Y 0.7754 0.0001 0.3686
Y5 Y 0.7755 0.3686 0.9999
In1 In 0.1778 0.0000 0.0000
Nd1 Nd 0.4582 0.3136 0.6865
Nd2 Nd 0.7718 0.6865 0.6864
Nd3 Nd 0.4583 0.6864 0.3135
Nd4 Nd 0.1447 0.3135 0.3136
```

=====

no.,formation energy (eV per atom),N(E_F) (states/eV per cell)
1,-0.276,6.04
2,-0.154,12.53
3,0.071,14.57